[1]
Entry from the Alexandria database: an optimized crystal structure of Ca2IrSe (PBE).

Geometry as POSCAR:
```
Ca2IrSe
1.0
-1.537 -4.144 -2.279
-1.085 -2.656 4.062
-3.308 1.258 -0.059
Ca Ir Se
2 1 1
Direct
0.000 0.000 0.000
0.500 0.500 0.000
0.500 0.000 0.500
0.000 0.500 0.500
```

E_form (uncorrected) = -0.737 eV per atom
Energy above the lowest structure with this stoichiometry = 76 meV per atom
Symmetry = Cmmm (65)

---

[2]
Entry from the Alexandria database: an optimized crystal structure of Ca2IrSe (PBE).

Geometry as POSCAR:
```
Ca2IrSe
1.0
4.862 -0.019 0.001
-0.780 4.799 -0.001
-2.042 -2.389 3.710
Ca Ir Se
2 1 1
Direct
0.000 0.000 0.000
0.500 0.500 0.000
0.750 0.250 0.500
0.250 0.750 0.500
```

E_form (uncorrected) = -0.652 eV per atom
Energy above the lowest structure with this stoichiometry = 161 meV per atom
Symmetry = I4/mmm (139)

---

[3]
Entry from the Alexandria database: an optimized crystal structure of Ca2IrSe (PBE).

Geometry as POSCAR:
```
Ca2IrSe
1.0
0.000 3.541 3.541
3.541 0.000 3.541
3.541 3.541 0.000
Ca Ir Se
2 1 1
Direct
0.250 0.250 0.250
0.750 0.750 0.750
0.500 0.500 0.500
0.000 0.000 0.000
```

E_form (uncorrected) = -0.632 eV per atom
Energy above the lowest structure with this stoichiometry = 181 meV per atom
Symmetry = Fm-3m (225)